A plane-wave DFT calculation with PBE was carried out for crystalline NbPt6W2 at its relaxed geometry.

Values from the calculation:
- symmetry = Imm2, No. 44
- crystal system = orthorhombic
- formation energy (eV per atom) = -0.1086

abc: 3.9878 5.5053 7.8675
angles: 110.48 104.68 90.00
Atoms (fractional coordinates):
1 Nb 0.9043 0.9043 0.8086
2 Pt 0.6950 0.4340 0.3900
3 Pt 0.3211 0.5664 0.6421
4 Pt 0.3211 0.0757 0.6421
5 Pt 0.5110 0.7620 0.0221
6 Pt 0.5110 0.2601 0.0221
7 Pt 0.6950 0.9560 0.3900
8 W 0.9221 0.4221 0.8442
9 W 0.1194 0.6194 0.2388


A plane-wave DFT calculation with PBE was carried out for crystalline NbPt3W at its relaxed geometry.

Values from the calculation:
- symmetry = Pm-3m, No. 221
- crystal system = cubic
- formation energy (eV per atom) = 1.1823

abc: 4.8086 4.8086 4.8086
angles: 90.00 90.00 90.00
Each line ends with the local moment (μB).
Atoms (fractional coordinates):
1 Nb 0.5000 0.5000 0.5000  2.00
2 W 0.0000 0.0000 0.0000  -0.09
3 Pt 0.0000 0.5000 0.0000  -0.04
4 Pt 0.0000 0.0000 0.5000  -0.05
5 Pt 0.5000 0.0000 0.0000  0.03


A plane-wave DFT calculation with PBE was carried out for crystalline Nb2PtW at its relaxed geometry.

Values from the calculation:
- symmetry = I-42d, No. 122
- crystal system = tetragonal
- formation energy (eV per atom) = 0.5162

abc: 3.8874 3.8874 10.0888
angles: 78.89 78.89 90.00
Atoms (fractional coordinates):
1 Nb 0.6192 0.1250 0.2500
2 Nb 0.1308 0.6250 0.2500
3 Nb 0.3750 0.3808 0.7500
4 Nb 0.8750 0.8692 0.7500
5 W 0.5000 0.5000 0.0000
6 W 0.2500 0.7500 0.5000
7 Pt 0.0000 0.0000 0.0000
8 Pt 0.7500 0.2500 0.5000


What is the formula in the first record? NbPt6W2


What did the first record say?
A plane-wave DFT calculation with PBE was carried out for crystalline NbPt6W2 at its relaxed geometry.

Values from the calculation:
- symmetry = Imm2, No. 44
- crystal system = orthorhombic
- formation energy (eV per atom) = -0.1086

abc: 3.9878 5.5053 7.8675
angles: 110.48 104.68 90.00
Atoms (fractional coordinates):
1 Nb 0.9043 0.9043 0.8086
2 Pt 0.6950 0.4340 0.3900
3 Pt 0.3211 0.5664 0.6421
4 Pt 0.3211 0.0757 0.6421
5 Pt 0.5110 0.7620 0.0221
6 Pt 0.5110 0.2601 0.0221
7 Pt 0.6950 0.9560 0.3900
8 W 0.9221 0.4221 0.8442
9 W 0.1194 0.6194 0.2388